! GGA-PBE Re2Tc5Ru4, optimized geometry; values from VASP
&SYSTEM
  ibrav = 0, nat = 11, ntyp = 3
/
ATOMIC_SPECIES
Re 186.21 Re.upf
Tc 98.00 Tc.upf
Ru 101.07 Ru.upf
ATOMIC_POSITIONS crystal
Re 0.0809 0.0809 0.0883
Re 0.9191 0.9191 0.9117
Tc 0.0000 0.0000 0.5000
Tc 0.2526 0.2526 0.1676
Tc 0.3404 0.3404 0.7118
Tc 0.6596 0.6596 0.2882
Tc 0.7474 0.7474 0.8324
Ru 0.1674 0.1674 0.6337
Ru 0.4284 0.4284 0.2468
Ru 0.5716 0.5716 0.7532
Ru 0.8326 0.8326 0.3663
CELL_PARAMETERS angstrom
7.9553 -2.1815 0.0000
7.9553 2.1815 0.0000
-0.6029 0.0000 4.7273
! * calculated formation energy: 191.6 meV/atom
! * DOS at the Fermi energy: 10.86 states/eV/cell
! * total DFT energy (no corrections): -10.157 eV/atom